HfTaGa4: optimized geometry, PBE.

Cell: 5.1784 5.1784 5.1784 Å, 60.00 60.00 60.00°
Last column: nearest neighbours and their distance in Å.
Fractional positions:
Hf (0.0000, 0.0000, 0.0000)  12 Ga 3.04, 4 Ta 3.17
Ta (0.2500, 0.2500, 0.2500)  12 Ga 3.04, 4 Hf 3.17
Ga (0.1247, 0.6251, 0.6251)  6 Ga 2.59
Ga (0.6251, 0.1247, 0.6251)  6 Ga 2.59
Ga (0.6251, 0.6251, 0.1247)  6 Ga 2.59
Ga (0.6251, 0.6251, 0.6251)  6 Ga 2.59

magnetization: 0.000 μB/f.u.
E_form: -0.168 eV per atom
E: -5.82 eV per atom
theoretical density: 10.79 g/cm³